[1]
VASP calculation (GGA-PBE) on TmCd8Ag2 after structural relaxation.

Summary:
- ΔH_f (0 K): -0.041 eV per atom
- Total magnetic moment: 0.0 μB/f.u.
- E above lowest polymorph: 0.00 eV per formula unit
- Volume: 498.3 Å³ per cell

Cell lengths 16.6230, 5.7944, 5.2098 Å; angles 90.00, 96.73, 90.00 degrees
Closest atoms and distances in Å follow each position.
Space group C2/m (No. 12)
Symmetry-distinct sites (fractional):
Tm 0.0000 0.0000 0.0000 (multiplicity 2)  14 Cd 3.20-3.41
Cd 0.0915 0.5000 0.0346 (multiplicity 4)  1 Ag 2.89, 5 Cd 2.95-3.04
Cd 0.0974 0.2445 0.5464 (multiplicity 8)  4 Cd 2.83-3.04, 2 Ag 2.97-3.06
Cd 0.1937 0.0000 0.0866 (multiplicity 4)  2 Ag 2.83-2.84
Ag 0.2384 0.5000 0.3899 (multiplicity 4)  7 Cd 2.83-3.06, 2 Ag 3.12

---

[2]
VASP calculation (GGA-PBE) on Nd7Y3Tm after structural relaxation.

Summary:
- ΔH_f (0 K): 0.185 eV per atom
- Total magnetic moment: 0.0 μB/f.u.
- E above lowest polymorph: 0.00 eV per formula unit
- Volume: 792.2 Å³ per cell

Cell lengths 7.2094, 10.3236, 12.5735 Å; angles 66.43, 73.40, 69.59 degrees
Closest atoms and distances in Å follow each position.
Space group P-1 (No. 2)
Symmetry-distinct sites (fractional):
Nd 0.0792 0.3072 0.0253 (multiplicity 2)  1 Tm 3.56, 6 Nd 3.56-3.72, 4 Y 3.56-3.69
Nd 0.0805 0.8072 0.5281 (multiplicity 2)  4 Y 3.51-3.71, 7 Nd 3.56-3.67, 1 Tm 3.58
Nd 0.2063 0.7500 0.2500 (multiplicity 2)  2 Tm 3.50, 4 Y 3.51-3.81, 4 Nd 3.59-3.64
Nd 0.3379 0.5427 0.7745 (multiplicity 2)  4 Y 3.47-3.62, 7 Nd 3.61-3.73
Nd 0.3439 0.0431 0.2744 (multiplicity 2)  4 Y 3.47-3.62, 7 Nd 3.61-3.72
Nd 0.4119 0.1927 0.4749 (multiplicity 2)  1 Tm 3.56, 6 Nd 3.56-3.73, 4 Y 3.56-3.69
Nd 0.4160 0.6927 0.9719 (multiplicity 2)  4 Y 3.51-3.71, 7 Nd 3.56-3.67, 1 Tm 3.58
Y 0.1696 0.9316 0.7267 (multiplicity 2)  10 Nd 3.51-3.71, 1 Tm 3.57
Y 0.1730 0.4316 0.2267 (multiplicity 2)  10 Nd 3.51-3.71, 1 Tm 3.57
Y 0.5000 0.0000 0.0000 (multiplicity 1)  8 Nd 3.47-3.81, 2 Tm 3.60
Y 0.5000 0.5000 0.5000 (multiplicity 1)  8 Nd 3.47-3.81, 2 Tm 3.60
Tm 0.0000 0.0000 0.0000 (multiplicity 1)  6 Nd 3.50-3.58, 4 Y 3.57-3.60
Tm 0.0000 0.5000 0.5000 (multiplicity 1)  6 Nd 3.50-3.58, 4 Y 3.57-3.60

---

[3]
VASP calculation (GGA-PBE) on Li4Y3SbSe8 after structural relaxation.

Summary:
- E_form (uncorrected): -1435 meV per atom
- Total magnetic moment: 0.0 μB/f.u.
- Volume: 1124.3 Å³ per cell

Cell lengths 8.1571, 8.1571, 19.5126 Å; angles 90.00, 90.00, 120.00 degrees
Closest atoms and distances in Å follow each position.
Space group R-3m (No. 166, hexagonal axes)
Symmetry-distinct sites (fractional):
Li 0.0000 0.0000 0.0000 (multiplicity 3)  6 Se 2.85
Li 0.0000 0.5000 0.0000 (multiplicity 9)  6 Se 2.84-2.85
Y 0.0000 0.5000 0.5000 (multiplicity 9)  6 Se 2.87-2.88
Sb 0.0000 0.0000 0.5000 (multiplicity 3)  6 Se 2.88
Se 0.0000 0.0000 0.2509 (multiplicity 6)  3 Li 2.85, 3 Y 2.87
Se 0.0002 0.5001 0.2515 (multiplicity 18)  3 Li 2.84-2.85, 1 Sb 2.88, 2 Y 2.88

---

[4]
VASP calculation (GGA-PBE) on CaPPb2 after structural relaxation.

Summary:
- ΔH_f (0 K): -0.384 eV per atom
- Total magnetic moment: 0.0 μB/f.u.
- Volume: 114.4 Å³ per cell

Cell lengths 4.2456, 3.9557, 7.1324 Å; angles 90.00, 107.30, 90.00 degrees
Closest atoms and distances in Å follow each position.
Space group Pm (No. 6)
Symmetry-distinct sites (fractional):
Ca 0.0000 0.0000 0.0000 (multiplicity 1)  4 P 2.93
P 0.4693 0.5000 0.9393 (multiplicity 1)  3 Pb 2.77-3.10, 4 Ca 2.93
Pb 0.2934 0.0000 0.5896 (multiplicity 1)  2 P 3.10, 4 Pb 3.34
Pb 0.6726 0.5000 0.3463 (multiplicity 1)  1 P 2.77